Run i
This record from Alexandria describes crystalline CaSbCl2 at its relaxed geometry. The functional is GGA-PBE.

Density of states at the Fermi level = 3.90 states/eV/cell
Theoretical density = 3.83 g/cm3
Space group = Fm-3m

Unit cell a=5.224 b=5.224 c=5.224 alpha=60.00 beta=60.00 gamma=60.00
Atoms (fractional coordinates):
Sb 0.500 0.500 0.500
Ca 0.000 0.000 0.000
Cl 0.250 0.250 0.250
Cl 0.750 0.750 0.750

Run ii
This record from Alexandria describes crystalline CaSbCl2 at its relaxed geometry. The functional is GGA-PBE.

Density of states at the Fermi level = 3.93 states/eV/cell
Theoretical density = 3.33 g/cm3
Space group = R-3m

Unit cell a=10.210 b=10.210 c=10.210 alpha=20.66 beta=20.66 gamma=20.66
Atoms (fractional coordinates):
Sb 0.500 0.500 0.500
Ca 0.000 0.000 0.000
Cl 0.913 0.913 0.913
Cl 0.087 0.087 0.087

What should be chosen as the most stable of them? Choose run i.

Run i
This record from Alexandria describes crystalline CaSbCl2 at its relaxed geometry. The functional is GGA-PBE.

Density of states at the Fermi level = 1.22 states/eV/cell
Theoretical density = 3.46 g/cm3
Space group = P2/m

Unit cell a=4.660 b=4.890 c=4.905 alpha=89.57 beta=90.00 gamma=90.00
Atoms (fractional coordinates):
Sb 0.500 0.250 0.250
Ca 0.500 0.750 0.750
Cl 0.000 0.998 0.999
Cl 0.000 0.502 0.501

Run ii
This record from Alexandria describes crystalline CaSbCl2 at its relaxed geometry. The functional is GGA-PBE.

Density of states at the Fermi level = 6.88 states/eV/cell
Theoretical density = 3.41 g/cm3
Space group = I-42d

Unit cell a=8.114 b=8.114 c=6.691 alpha=52.68 beta=52.68 gamma=90.00
Atoms (fractional coordinates):
Sb 0.000 0.000 0.000
Sb 0.750 0.250 0.500
Ca 0.500 0.500 0.000
Ca 0.250 0.750 0.500
Cl 0.577 0.125 0.250
Cl 0.173 0.625 0.250
Cl 0.375 0.423 0.750
Cl 0.875 0.827 0.750

Run iii
This record from Alexandria describes crystalline CaSbCl2 at its relaxed geometry. The functional is GGA-PBE.

Density of states at the Fermi level = 1.56 states/eV/cell
Theoretical density = 2.86 g/cm3
Space group = P4/mmm

Unit cell a=3.328 b=3.328 c=12.204 alpha=90.00 beta=90.00 gamma=90.01
Atoms (fractional coordinates):
Sb 0.500 0.500 0.250
Ca 0.500 0.500 0.750
Cl 0.000 0.000 0.880
Cl 0.000 0.000 0.620

What should be chosen as the most stable of them? Choose run iii.

Run i
This record from Alexandria describes crystalline CaSbCl2 at its relaxed geometry. The functional is GGA-PBE.

Density of states at the Fermi level = 1.42 states/eV/cell
Theoretical density = 3.72 g/cm3
Space group = P4mm

Unit cell a=3.801 b=3.801 c=7.200 alpha=90.00 beta=90.00 gamma=90.00
Atoms (fractional coordinates):
Sb 0.000 0.000 0.495
Ca 0.500 0.500 0.845
Cl 0.000 0.000 0.934
Cl 0.500 0.500 0.226

Run ii
This record from Alexandria describes crystalline CaSbCl2 at its relaxed geometry. The functional is GGA-PBE.

Density of states at the Fermi level = 0.83 states/eV/cell
Theoretical density = 3.69 g/cm3
Space group = Immm

Unit cell a=5.966 b=5.966 c=5.966 alpha=146.26 beta=115.30 gamma=75.00
Atoms (fractional coordinates):
Sb 0.750 0.250 0.500
Ca 0.250 0.750 0.500
Cl 0.024 0.024 0.000
Cl 0.476 0.476 0.000

Run iii
This record from Alexandria describes crystalline CaSbCl2 at its relaxed geometry. The functional is GGA-PBE.

Density of states at the Fermi level = 2.77 states/eV/cell
Theoretical density = 3.54 g/cm3
Space group = F-43m

Unit cell a=5.365 b=5.365 c=5.365 alpha=60.00 beta=60.00 gamma=60.00
Each line ends with the local moment (μB).
Atoms (fractional coordinates):
Sb 0.750 0.750 0.750  0.82
Ca 0.500 0.500 0.500  0.15
Cl 0.000 0.000 0.000  0.29
Cl 0.250 0.250 0.250  0.14

Run iv
This record from Alexandria describes crystalline CaSbCl2 at its relaxed geometry. The functional is GGA-PBE.

Density of states at the Fermi level = 1.93 states/eV/cell
Theoretical density = 3.47 g/cm3
Space group = Cm

Unit cell a=7.101 b=7.101 c=6.026 alpha=50.18 beta=50.18 gamma=29.26
Atoms (fractional coordinates):
Sb 0.564 0.564 0.354
Ca 0.262 0.262 0.390
Cl 0.942 0.942 0.972
Cl 0.731 0.731 0.784

What should be chosen as the most stable of them? Choose run iv.

Run i
This record from Alexandria describes crystalline CaSbCl2 at its relaxed geometry. The functional is GGA-PBE.

Density of states at the Fermi level = 1.49 states/eV/cell
Theoretical density = 3.86 g/cm3
Space group = Pmmm

Unit cell a=3.532 b=6.083 c=4.664 alpha=90.00 beta=90.00 gamma=90.00
Atoms (fractional coordinates):
Sb 0.500 0.000 0.500
Ca 0.000 0.500 0.500
Cl 0.000 0.000 0.000
Cl 0.500 0.500 0.000

Run ii
This record from Alexandria describes crystalline CaSbCl2 at its relaxed geometry. The functional is GGA-PBE.

Density of states at the Fermi level = 0.90 states/eV/cell
Theoretical density = 3.49 g/cm3
Space group = C2/m

Unit cell a=5.724 b=5.724 c=4.817 alpha=65.93 beta=65.93 gamma=106.56
Atoms (fractional coordinates):
Sb 0.500 0.000 0.500
Ca 0.000 0.500 0.500
Cl 0.000 0.000 0.000
Cl 0.500 0.500 0.000

Run iii
This record from Alexandria describes crystalline CaSbCl2 at its relaxed geometry. The functional is GGA-PBE.

Density of states at the Fermi level = 1.15 states/eV/cell
Theoretical density = 3.70 g/cm3
Space group = I-4m2

Unit cell a=6.790 b=6.790 c=6.790 alpha=144.60 beta=144.60 gamma=50.93
Atoms (fractional coordinates):
Sb 0.500 0.500 0.000
Ca 0.750 0.250 0.500
Cl 0.000 0.000 0.000
Cl 0.250 0.750 0.500

What should be chosen as the most stable of them? Choose run i.

Run i
This record from Alexandria describes crystalline Ca2SbCl2 at its relaxed geometry. The functional is GGA-PBE.

Density of states at the Fermi level = 1.28 states/eV/cell
Theoretical density = 3.19 g/cm3
Space group = I4/mmm

Unit cell a=4.381 b=4.381 c=8.031 alpha=74.17 beta=74.17 gamma=90.00
Atoms (fractional coordinates):
Sb 0.000 0.000 0.000
Ca 0.365 0.365 0.271
Ca 0.635 0.635 0.729
Cl 0.750 0.250 0.500
Cl 0.250 0.750 0.500

Run ii
This record from Alexandria describes crystalline Ca2SbCl2 at its relaxed geometry. The functional is GGA-PBE.

Density of states at the Fermi level = 1.38 states/eV/cell
Theoretical density = 3.45 g/cm3
Space group = P4/mbm

Unit cell a=8.448 b=8.448 c=3.685 alpha=90.00 beta=90.00 gamma=90.00
Atoms (fractional coordinates):
Sb 0.000 0.000 0.000
Sb 0.500 0.500 0.000
Ca 0.329 0.829 0.000
Ca 0.829 0.671 0.000
Ca 0.671 0.171 0.000
Ca 0.171 0.329 0.000
Cl 0.127 0.627 0.500
Cl 0.627 0.873 0.500
Cl 0.873 0.373 0.500
Cl 0.373 0.127 0.500

What should be chosen as the most stable of them? Choose run i.

Run i
This record from Alexandria describes crystalline CaSb2Cl2 at its relaxed geometry. The functional is GGA-PBE.

Density of states at the Fermi level = 6.09 states/eV/cell
Theoretical density = 2.97 g/cm3
Space group = P4/mbm

Unit cell a=7.038 b=7.038 c=8.016 alpha=90.00 beta=90.00 gamma=90.00
Atoms (fractional coordinates):
Sb 0.133 0.633 0.500
Sb 0.633 0.867 0.500
Sb 0.867 0.367 0.500
Sb 0.367 0.133 0.500
Ca 0.000 0.000 0.000
Ca 0.500 0.500 0.000
Cl 0.325 0.825 0.000
Cl 0.825 0.675 0.000
Cl 0.675 0.175 0.000
Cl 0.175 0.325 0.000

Run ii
This record from Alexandria describes crystalline CaSb2Cl2 at its relaxed geometry. The functional is GGA-PBE.

Density of states at the Fermi level = 1.92 states/eV/cell
Theoretical density = 3.14 g/cm3
Space group = I4/mmm

Unit cell a=3.975 b=3.975 c=12.186 alpha=80.61 beta=80.61 gamma=90.00
Atoms (fractional coordinates):
Sb 0.750 0.250 0.500
Sb 0.250 0.750 0.500
Ca 0.000 0.000 0.000
Cl 0.435 0.435 0.129
Cl 0.565 0.565 0.871

What should be chosen as the most stable of them? Choose run ii.